Entry 1:
Density functional theory data (GGA-PBEsol) for a geometry-optimized Ca2Sn2Hg structure.

Results
Uncorrected energy (eV per atom): -3.216
Energy of formation from the pure elements (eV per atom): -0.55
V (A^3/atom): 27.29

Cell: 4.7253 7.5999 7.5999 Å, 90.00 90.00 90.00°
Closest atoms and distances in Å follow each position.
Atoms (fractional coordinates):
Sn 0.0000 0.8638 0.6362  1 Sn 2.93, 2 Hg 2.95, 2 Ca 3.17
Hg 0.0000 0.0000 0.0000  4 Sn 2.95
Ca 0.5000 0.1676 0.6676  6 Sn 3.17-3.31
Sn 0.0000 0.1362 0.3638  1 Sn 2.93, 2 Hg 2.95, 2 Ca 3.17
Sn 0.0000 0.3638 0.8638  1 Sn 2.93, 2 Hg 2.95, 2 Ca 3.17
Ca 0.5000 0.8324 0.3324  6 Sn 3.17-3.31
Hg 0.0000 0.5000 0.5000  4 Sn 2.95
Sn 0.0000 0.6362 0.1362  1 Sn 2.93, 2 Hg 2.95, 2 Ca 3.17
Ca 0.5000 0.3324 0.1676  6 Sn 3.17-3.31
Ca 0.5000 0.6676 0.8324  6 Sn 3.17-3.31

Entry 2:
Density functional theory data (GGA-PBEsol) for a geometry-optimized MoHO3 structure.

Results
Uncorrected energy (eV per atom): -7.807
V (A^3/atom): 11.17

Cell: 3.7118 3.7769 8.3074 Å, 103.14 99.73 90.00°
Closest atoms and distances in Å follow each position.
Atoms (fractional coordinates):
O 0.8023 0.5664 0.1752  2 Mo 1.89
Mo 0.8024 0.0652 0.1717  5 O 1.88-1.96
O 0.1977 0.3912 0.8248  2 Mo 1.89
O 0.9322 0.1789 0.4065  1 H 1.09
O 0.2798 0.0288 0.0994  2 Mo 1.93-1.96
H 0.9914 0.4511 0.4881  1 O 1.09
Mo 0.1976 0.8935 0.8283  5 O 1.88-1.96
O 0.0678 0.7724 0.5935  1 H 1.09
O 0.7202 0.9294 0.9006  2 Mo 1.93-1.96
H 0.0086 0.9631 0.5119  1 O 1.09

Entry 3:
Density functional theory data (GGA-PBEsol) for a geometry-optimized CsRb2Na2 structure.

Results
Uncorrected energy (eV per atom): -1.124
Energy of formation from the pure elements (eV per atom): 0.03
Energy relative to the lowest polymorph listed for this composition (eV per formula unit): 0.00
V (A^3/atom): 66.35

Cell: 4.6337 11.9658 11.9658 Å, 90.00 90.00 90.00°
Closest atoms and distances in Å follow each position.
Atoms (fractional coordinates):
Rb 0.0000 0.6318 0.1318  6 Na 4.13-4.27, 1 Rb 4.46
Na 0.5000 0.6661 0.8339  6 Rb 4.13-4.27
Rb 0.0000 0.1318 0.3682  6 Na 4.13-4.27, 1 Rb 4.46
Rb 0.0000 0.3682 0.8682  6 Na 4.13-4.27, 1 Rb 4.46
Na 0.5000 0.1661 0.6661  6 Rb 4.13-4.27
Na 0.5000 0.3339 0.1661  6 Rb 4.13-4.27
Rb 0.0000 0.8682 0.6318  6 Na 4.13-4.27, 1 Rb 4.46
Cs 0.0000 0.5000 0.5000  2 Cs 4.63, 4 Rb 4.68, 8 Na 5.03
Cs 0.0000 0.0000 0.0000  2 Cs 4.63, 4 Rb 4.68, 8 Na 5.03
Na 0.5000 0.8339 0.3339  6 Rb 4.13-4.27

The records above give, respectively, Fermi-level density of states values of 5.734, 3.917, 7.144 states/eV per cell.